The following is a DFT calculation (PBE-GGA) of a geometry-optimized ReSi2W structure.

Cell lengths 4.750, 4.750, 4.750 Å; angles 132.95, 132.95, 68.73 degrees
Positions (direct):
Re 0.000 0.000 0.000
Si 0.250 0.750 0.500
Si 0.500 0.500 0.000
W 0.750 0.250 0.500

Properties
space-group type	I-4m2 (119)
electronic total energy	-8.930	eV per atom
relative energy among the computed polymorphs	1.73	eV per formula unit
uncorrected formation energy	0.13	eV per atom